Entry 1:
VASP calculation (PBE) on a relaxed structure of PuGe2Pd3.

```
18
Lattice="8.4329 -2.0168 0.0000 8.4329 2.0168 0.0000 -3.0631 0.0000 9.5900" Properties=species:S:1:pos:R:3 pbc="T T T"
Pu 0.0000 0.0000 0.0000
Pu 0.5199 0.0000 6.7371
Pu 13.2827 0.0000 2.8529
Ge 2.9252 0.0000 1.2779
Ge 4.4553 0.0000 5.1831
Ge 7.0709 0.0000 2.0922
Ge 6.7317 0.0000 7.4978
Ge 9.3473 0.0000 4.4069
Ge 10.8774 0.0000 8.3121
Pd -0.3300 0.0000 3.1876
Pd 2.4452 0.0000 3.7790
Pd 5.2836 0.0000 0.3168
Pd 3.9601 0.0000 7.6687
Pd 6.9013 0.0000 4.7950
Pd 9.8425 0.0000 1.9213
Pd 8.5190 0.0000 9.2732
Pd 11.3574 0.0000 5.8110
Pd 14.1326 0.0000 6.4024
```

Calculated values
- electronic total energy (eV per atom) = -7.14
- DOS(E_F) (states/eV/f.u.) = 13.90
- symmetry = C2/m (12)

Entry 2:
VASP calculation (PBE) on a relaxed structure of Sr2TlCuH.

```
5
Lattice="5.5683 0.0000 0.0000 0.0000 5.5683 0.0000 0.0000 0.0000 3.8971" Properties=species:S:1:pos:R:3 pbc="T T T"
Sr 0.0000 2.7842 0.0000
Sr 2.7842 0.0000 0.0000
Tl 0.0000 0.0000 1.9486
Cu 2.7842 2.7842 1.9486
H 2.7842 2.7842 0.0000
```

Calculated values
- electronic total energy (eV per atom) = -2.86
- DOS(E_F) (states/eV/f.u.) = 1.94
- symmetry = P4/mmm (123)

Entry 3:
VASP calculation (PBE) on a relaxed structure of Ta2Nb3W4.

```
9
Lattice="-1.5705 4.4416 5.9473 1.5705 -4.4416 5.9473 1.5705 4.4416 -5.9473" Properties=species:S:1:pos:R:3 pbc="T T T"
Ta 0.0000 0.0000 2.3309
Ta 0.0000 0.0000 9.5638
Nb 1.5705 0.0000 0.0000
Nb 1.5705 0.0000 4.6108
Nb 0.0000 4.4416 1.3366
W 1.5705 2.1957 -1.6560
W 1.5705 2.1957 1.6560
W 0.0000 2.2459 4.2914
W 0.0000 2.2459 7.6033
```

Calculated values
- electronic total energy (eV per atom) = -11.10
- DOS(E_F) (states/eV/f.u.) = 8.19
- symmetry = Immm (71)

Entry 4:
VASP calculation (PBE) on a relaxed structure of K2BaTa.

```
4
Lattice="4.1402 0.0000 0.0000 0.0000 6.0710 0.0000 0.0000 0.0000 7.0116" Properties=species:S:1:pos:R:3 pbc="T T T"
K 0.0000 0.0000 0.0000
K 2.0701 3.0355 0.0000
Ba 0.0000 3.0355 3.5058
Ta 2.0701 0.0000 3.5058
```

Calculated values
- electronic total energy (eV per atom) = -2.75
- DOS(E_F) (states/eV/f.u.) = 4.36
- symmetry = Pmmm (47)

Entry 5:
VASP calculation (PBE) on a relaxed structure of ThCo4Pt.

```
6
Lattice="0.0000 3.5394 3.5394 3.5394 0.0000 3.5394 3.5394 3.5394 0.0000" Properties=species:S:1:pos:R:3 pbc="T T T"
Th 0.0000 0.0000 0.0000
Co 4.4064 2.6723 2.6723
Co 2.6723 4.4064 2.6723
Co 2.6723 2.6723 4.4064
Co 4.4064 4.4064 4.4064
Pt 1.7697 1.7697 1.7697
```

Calculated values
- electronic total energy (eV per atom) = -7.19
- DOS(E_F) (states/eV/f.u.) = 8.02
- symmetry = F-43m (216)

Entry 6:
VASP calculation (PBE) on a relaxed structure of ZrMo2Br.

```
4
Lattice="3.0088 0.0000 0.0000 0.0000 5.0170 0.0000 -0.0532 0.0000 4.9018" Properties=species:S:1:pos:R:3 pbc="T T T"
Zr 0.0000 0.0000 0.0000
Mo 1.1062 2.5085 1.1862
Mo 1.8494 2.5085 3.7157
Br 1.4778 0.0000 2.4509
```

Calculated values
- electronic total energy (eV per atom) = -7.57
- DOS(E_F) (states/eV/f.u.) = 3.30
- symmetry = P2/m (10)
- formation energy from raw total energies (meV per atom) = 404.0

Entry 7:
VASP calculation (PBE) on a relaxed structure of Sm3TmHg2.

```
12
Lattice="-3.6030 7.3488 3.7729 3.6030 -7.3488 3.7729 3.6030 7.3488 -3.7729" Properties=species:S:1:pos:R:3 pbc="T T T"
Sm 3.6030 -3.3437 1.8865
Sm 0.0000 0.0000 1.8865
Sm 3.6030 3.3437 1.8865
Sm 0.0000 4.0050 1.8865
Sm 0.0000 0.0000 5.6594
Sm 0.0000 10.6925 1.8865
Tm 3.6030 0.0000 0.0000
Tm 0.0000 7.3488 0.0000
Hg 1.4675 2.0195 0.0000
Hg 1.4675 -2.0195 3.7729
Hg 2.1355 9.3682 0.0000
Hg 2.1355 5.3293 3.7729
```

Calculated values
- electronic total energy (eV per atom) = -3.28
- DOS(E_F) (states/eV/f.u.) = 7.18
- symmetry = Ibam (72)

Entry 8:
VASP calculation (PBE) on a relaxed structure of BaTl2Pb3.

```
12
Lattice="9.5513 -2.7595 0.0000 9.5513 2.7595 0.0000 -2.0387 0.0000 7.8134" Properties=species:S:1:pos:R:3 pbc="T T T"
Ba 1.8883 0.0000 1.3871
Ba 15.1757 0.0000 6.4264
Tl 3.1703 0.0000 5.1199
Tl 8.7752 0.0000 1.3611
Tl 8.2888 0.0000 6.4523
Tl 13.8936 0.0000 2.6935
Pb -0.1033 0.0000 5.2295
Pb 5.5634 0.0000 0.6013
Pb 6.2317 0.0000 3.8311
Pb 10.8323 0.0000 3.9823
Pb 11.5006 0.0000 7.2121
Pb 17.1673 0.0000 2.5839
```

Calculated values
- electronic total energy (eV per atom) = -3.16
- DOS(E_F) (states/eV/f.u.) = 3.37
- symmetry = C2/m (12)

- What is the formula in the second record?
  Sr2TlCuH

- Look up the DOS(E_F) of the third one.
  8.19 states/eV/f.u.

- Look up the electronic total energy of the sixth one.
  -7.57 eV per atom

- Which value of electronic total energy does entry 2 give?
  -2.86 eV per atom